# Gd3ZrO (PBE-GGA, relaxed)
# - Raw formation energy: -1.0669 eV per atom
# - DOS at the Fermi energy: 6.14 states/eV per cell
data_Gd3ZrO
_space_group_name_H-M_alt 'P m -3 m'
_space_group_IT_number 221
_space_group_name_Hall '-P 4 2 3'
_cell_length_a 4.8848
_cell_length_b 4.8848
_cell_length_c 4.8848
_cell_angle_alpha 90.00
_cell_angle_beta 90.00
_cell_angle_gamma 90.00
loop_
_atom_site_label
_atom_site_type_symbol
_atom_site_fract_x
_atom_site_fract_y
_atom_site_fract_z
Gd1 Gd 0.0000 0.0000 0.5000
Zr1 Zr 0.5000 0.5000 0.5000
O1 O 0.0000 0.0000 0.0000